Compound: U2ZnRe
Source: the Alexandria database
Functional: PBE
Structure: optimized geometry

Properties
Theoretical density   14848 kg/m³
VASP energy   -8.622 eV per atom
DOS at the Fermi energy   2.036 states/eV/atom
Formation energy from the elements   1.8 eV/f.u.

Cell: 10.953 10.953 10.953 Å, 15.46 15.46 15.46°
Positions (direct):
U  0.094  0.094  0.094
U  0.906  0.906  0.906
Zn  0.000  0.000  0.000
Re  0.500  0.500  0.500